Material: LaPm2Zn2Sn2
Method: DFT, GGA-PBE
State: optimized geometry

abc: 10.1843 10.1843 10.1843
angles: 26.63 26.63 26.63
Fractional positions:
La (0.0000, 0.0000, 0.0000)
Pm (0.1323, 0.1323, 0.1323)
Pm (0.8677, 0.8677, 0.8677)
Zn (0.4190, 0.4190, 0.4190)
Zn (0.5810, 0.5810, 0.5810)
Sn (0.2651, 0.2651, 0.2651)
Sn (0.7349, 0.7349, 0.7349)

Values from the calculation:
Total energy (eV per cell): -27.8



Material: SrLaPm
Method: DFT, GGA-PBE
State: optimized geometry

abc: 8.7362 8.7362 8.7362
angles: 154.65 154.65 36.15
Fractional positions:
Sr (0.0000, 0.0000, 0.0000)
La (0.6825, 0.6825, 0.0000)
Pm (0.3243, 0.3243, 0.0000)

Values from the calculation:
Energy relative to the lowest polymorph listed for this composition (meV/atom): 0.0



Material: SrLaPm2
Method: DFT, GGA-PBE
State: optimized geometry

abc: 12.7089 12.7089 12.7089
angles: 17.09 17.09 17.09
Fractional positions:
Sr (0.0000, 0.0000, 0.0000)
La (0.5000, 0.5000, 0.5000)
Pm (0.2448, 0.2448, 0.2448)
Pm (0.7552, 0.7552, 0.7552)

Values from the calculation:
Energy relative to the lowest polymorph listed for this composition (meV/atom): 8.8



Material: SrLaPm2
Method: DFT, GGA-PBE
State: optimized geometry

abc: 6.0272 6.0272 6.0272
angles: 60.00 60.00 60.00
Fractional positions:
Sr (0.0000, 0.0000, 0.0000)
La (0.5000, 0.5000, 0.5000)
Pm (0.2500, 0.2500, 0.2500)
Pm (0.7500, 0.7500, 0.7500)

Values from the calculation:
Energy relative to the lowest polymorph listed for this composition (meV/atom): 129.0



Material: SrLaPm2
Method: DFT, GGA-PBE
State: optimized geometry

abc: 12.6448 12.6448 12.6448
angles: 17.20 17.20 17.20
Fractional positions:
Sr (0.0000, 0.0000, 0.0000)
La (0.1656, 0.1656, 0.1656)
Pm (0.5777, 0.5777, 0.5777)
Pm (0.7543, 0.7543, 0.7543)

Values from the calculation:
Energy relative to the lowest polymorph listed for this composition (meV/atom): 0.0



Material: SrLaPm
Method: DFT, GGA-PBE
State: optimized geometry

abc: 3.8415 3.8415 9.5519
angles: 90.00 90.00 120.00
Fractional positions:
Sr (0.0000, 0.0000, 0.0000)
La (0.3333, 0.6667, 0.6415)
Pm (0.6667, 0.3333, 0.3449)

Values from the calculation:
Energy relative to the lowest polymorph listed for this composition (meV/atom): 15.0



Material: Sr2LaPm
Method: DFT, GGA-PBE
State: optimized geometry

abc: 14.0349 14.0349 14.0349
angles: 15.52 15.52 15.52
Fractional positions:
Sr (0.0871, 0.0871, 0.0871)
Sr (0.9129, 0.9129, 0.9129)
La (0.5000, 0.5000, 0.5000)
Pm (0.0000, 0.0000, 0.0000)

Values from the calculation:
Total energy (eV per cell): -11.9



Material: SrLaPm2
Method: DFT, GGA-PBE
State: optimized geometry

abc: 5.3426 5.3426 5.3752
angles: 90.00 90.00 90.00
Fractional positions:
Sr (0.0000, 0.0000, 0.0000)
La (0.5000, 0.5000, 0.0000)
Pm (0.0000, 0.5000, 0.5000)
Pm (0.5000, 0.0000, 0.5000)

Values from the calculation:
Energy relative to the lowest polymorph listed for this composition (meV/atom): 64.6



Material: SrLa6Pm8
Method: DFT, GGA-PBE
State: optimized geometry

abc: 8.5313 8.5313 8.5313
angles: 72.09 72.09 72.09
Fractional positions:
Sr (0.0000, 0.0000, 0.0000)
La (0.1671, 0.4271, 0.6209)
La (0.3791, 0.8329, 0.5729)
La (0.4271, 0.6209, 0.1671)
La (0.5729, 0.3791, 0.8329)
La (0.6209, 0.1671, 0.4271)
La (0.8329, 0.5729, 0.3791)
Pm (0.0561, 0.8575, 0.3881)
Pm (0.1425, 0.6119, 0.9439)
Pm (0.2278, 0.2278, 0.2278)
Pm (0.3881, 0.0561, 0.8575)
Pm (0.6119, 0.9439, 0.1425)
Pm (0.7722, 0.7722, 0.7722)
Pm (0.8575, 0.3881, 0.0561)
Pm (0.9439, 0.1425, 0.6119)

Values from the calculation:
Total energy (eV per cell): -66.8



Material: SrLaPm2
Method: DFT, GGA-PBE
State: optimized geometry

abc: 3.7719 3.7719 10.9054
angles: 90.00 90.00 90.00
Fractional positions:
Sr (0.0000, 0.0000, 0.0000)
La (0.0000, 0.0000, 0.5000)
Pm (0.5000, 0.5000, 0.2733)
Pm (0.5000, 0.5000, 0.7267)

Values from the calculation:
Energy relative to the lowest polymorph listed for this composition (meV/atom): 4.4



Material: SrLa14Pm
Method: DFT, GGA-PBE
State: optimized geometry

abc: 7.5036 7.5036 10.5483
angles: 90.00 90.00 90.00
Fractional positions:
Sr (0.0000, 0.0000, 0.0000)
La (0.0000, 0.0000, 0.5000)
La (0.0000, 0.5000, 0.0000)
La (0.0000, 0.5000, 0.5000)
La (0.2583, 0.2583, 0.2555)
La (0.2583, 0.2583, 0.7445)
La (0.2583, 0.7417, 0.2555)
La (0.2583, 0.7417, 0.7445)
La (0.5000, 0.0000, 0.0000)
La (0.5000, 0.0000, 0.5000)
La (0.5000, 0.5000, 0.5000)
La (0.7417, 0.2583, 0.2555)
La (0.7417, 0.2583, 0.7445)
La (0.7417, 0.7417, 0.2555)
La (0.7417, 0.7417, 0.7445)
Pm (0.5000, 0.5000, 0.0000)

Values from the calculation:
Total energy (eV per cell): -74.9



Material: SrLaPm
Method: DFT, GGA-PBE
State: optimized geometry

abc: 7.3706 7.3706 9.8159
angles: 101.31 101.31 28.13
Fractional positions:
Sr (0.1295, 0.1295, 0.0073)
Sr (0.8705, 0.8705, 0.9927)
La (0.0427, 0.0427, 0.3546)
La (0.9573, 0.9573, 0.6454)
Pm (0.2200, 0.2200, 0.6469)
Pm (0.7800, 0.7800, 0.3531)

Values from the calculation:
Energy relative to the lowest polymorph listed for this composition (meV/atom): 178.2



Material: SrLa6Pm2
Method: DFT, GGA-PBE
State: optimized geometry

abc: 8.4383 8.4383 8.4365
angles: 107.75 107.75 36.57
Fractional positions:
Sr (0.0000, 0.0000, 0.0000)
La (0.2270, 0.2270, 0.3399)
La (0.3240, 0.3240, 0.0029)
La (0.4434, 0.4434, 0.6497)
La (0.5566, 0.5566, 0.3503)
La (0.6760, 0.6760, 0.9971)
La (0.7730, 0.7730, 0.6601)
Pm (0.1123, 0.1123, 0.6572)
Pm (0.8877, 0.8877, 0.3428)

Values from the calculation:
Total energy (eV per cell): -40.2



Material: SrLa8Pm6
Method: DFT, GGA-PBE
State: optimized geometry

abc: 8.5114 8.5114 8.5114
angles: 72.39 72.39 72.39
Fractional positions:
Sr (0.0000, 0.0000, 0.0000)
La (0.0542, 0.8571, 0.3910)
La (0.1429, 0.6090, 0.9458)
La (0.2356, 0.2356, 0.2356)
La (0.3910, 0.0542, 0.8571)
La (0.6090, 0.9458, 0.1429)
La (0.7644, 0.7644, 0.7644)
La (0.8571, 0.3910, 0.0542)
La (0.9458, 0.1429, 0.6090)
Pm (0.1728, 0.4288, 0.6173)
Pm (0.3827, 0.8272, 0.5712)
Pm (0.4288, 0.6173, 0.1728)
Pm (0.5712, 0.3827, 0.8272)
Pm (0.6173, 0.1728, 0.4288)
Pm (0.8272, 0.5712, 0.3827)

Values from the calculation:
Total energy (eV per cell): -67.2



Material: SrLa3Pm2Te6
Method: DFT, GGA-PBE
State: optimized geometry

abc: 10.1942 10.1942 9.1538
angles: 102.92 102.92 25.81
Fractional positions:
Sr (0.0000, 0.0000, 0.0000)
La (0.0000, 0.0000, 0.5000)
La (0.3344, 0.3344, 0.1720)
La (0.6656, 0.6656, 0.8280)
Pm (0.3293, 0.3293, 0.6579)
Pm (0.6707, 0.6707, 0.3421)
Te (0.1665, 0.1665, 0.5795)
Te (0.1679, 0.1679, 0.0891)
Te (0.4961, 0.4961, 0.7470)
Te (0.5039, 0.5039, 0.2530)
Te (0.8321, 0.8321, 0.9109)
Te (0.8335, 0.8335, 0.4205)

Values from the calculation:
Formation energy without anion corrections (eV per atom): -1.543



Material: SrLaPmY
Method: DFT, GGA-PBE
State: optimized geometry

abc: 6.0014 6.0014 6.0014
angles: 60.00 60.00 60.00
Fractional positions:
Sr (0.0000, 0.0000, 0.0000)
La (0.7500, 0.7500, 0.7500)
Pm (0.5000, 0.5000, 0.5000)
Y (0.2500, 0.2500, 0.2500)

Values from the calculation:
Total energy (eV per cell): -16.9



Material: LaPm2Ta
Method: DFT, GGA-PBE
State: optimized geometry

abc: 12.3879 12.3879 12.3879
angles: 15.38 15.38 15.38
Fractional positions:
La (0.0000, 0.0000, 0.0000)
Pm (0.4202, 0.4202, 0.4202)
Pm (0.5798, 0.5798, 0.5798)
Ta (0.5000, 0.5000, 0.5000)

Values from the calculation:
Total energy (eV per cell): -23.6



Material: La2PmTa
Method: DFT, GGA-PBE
State: optimized geometry

abc: 12.5655 12.5655 12.5655
angles: 15.07 15.07 15.07
Fractional positions:
La (0.0780, 0.0780, 0.0780)
La (0.9220, 0.9220, 0.9220)
Pm (0.5000, 0.5000, 0.5000)
Ta (0.0000, 0.0000, 0.0000)

Values from the calculation:
Total energy (eV per cell): -23.9



Material: La7TbPm4
Method: DFT, GGA-PBE
State: optimized geometry

abc: 6.4612 7.4227 9.2218
angles: 89.90 76.54 90.00
Fractional positions:
La (0.0000, 0.0000, 0.0000)
La (0.2201, 0.4991, 0.3321)
La (0.2804, 0.7502, 0.6674)
La (0.5003, 0.2510, 0.9991)
La (0.4997, 0.7490, 0.0009)
La (0.7196, 0.2498, 0.3326)
La (0.7799, 0.5009, 0.6679)
Tb (0.0000, 0.5000, 0.0000)
Pm (0.2219, 0.9999, 0.3321)
Pm (0.2772, 0.2495, 0.6708)
Pm (0.7228, 0.7505, 0.3292)
Pm (0.7781, 0.0001, 0.6679)

Values from the calculation:
Energy relative to the lowest polymorph listed for this composition (meV/atom): 0.0



Material: LaTb7Pm12
Method: DFT, GGA-PBE
State: optimized geometry

abc: 9.4444 9.4444 9.4444
angles: 107.86 107.86 107.86
Fractional positions:
La (0.0000, 0.0000, 0.0000)
Tb (0.0087, 0.8939, 0.3213)
Tb (0.1061, 0.6787, 0.9913)
Tb (0.3213, 0.0087, 0.8939)
Tb (0.5000, 0.5000, 0.5000)
Tb (0.6787, 0.9913, 0.1061)
Tb (0.8939, 0.3213, 0.0087)
Tb (0.9913, 0.1061, 0.6787)
Pm (0.0501, 0.2977, 0.4085)
Pm (0.2226, 0.6694, 0.3758)
Pm (0.2977, 0.4085, 0.0501)
Pm (0.3306, 0.6242, 0.7774)
Pm (0.3758, 0.2226, 0.6694)
Pm (0.4085, 0.0501, 0.2977)
Pm (0.5915, 0.9499, 0.7023)
Pm (0.6242, 0.7774, 0.3306)
Pm (0.6694, 0.3758, 0.2226)
Pm (0.7023, 0.5915, 0.9499)
Pm (0.7774, 0.3306, 0.6242)
Pm (0.9499, 0.7023, 0.5915)

Values from the calculation:
Energy relative to the lowest polymorph listed for this composition (meV/atom): 0.0